Here is a geometry-optimized BeCuSb2Se structure from the Alexandria database. Energies are from PBE.

a = 4.9763 Å, b = 4.1798 Å, c = 4.9763 Å
α = 90.00°, β = 90.00°, γ = 90.00°
Last column: nearest neighbours and their distance in Å.
Sites, in units of the cell vectors:
Sb 0.0000 0.0000 0.5000  2 Be 2.49
Sb 0.5000 0.0000 0.0000  2 Be 2.49
Cu 0.0000 0.5000 0.0000  2 Be 2.09
Se 0.5000 0.5000 0.5000  8 Sb 3.25, 4 Cu 3.52
Be 0.0000 0.0000 0.0000  2 Cu 2.09

Crystal system: tetragonal
Calculated total energy: -3.47 eV/atom
Energy relative to the elements, uncorrected: 0.443 eV/atom